[1]
Te4Pb: relaxed, PBE.

Output
spin magnetization	0.0	Bohr magnetons per cell
electronic total energy	-12.67	eV/f.u.
mass density	6.02	Mg/m³
distance to the lowest polymorph of the same formula	647	meV per atom

a b c (Å): 5.8281 5.8281 5.8281
angles (deg): 90.00 90.00 90.00
Closest atoms and distances in Å follow each position.
Atoms (fractional coordinates):
Te 0.0000 0.0000 0.0000  12 Te 4.12
Te 0.0000 0.5000 0.5000  2 Pb 2.91
Te 0.5000 0.0000 0.5000  2 Pb 2.91
Te 0.5000 0.5000 0.0000  2 Pb 2.91
Pb 0.5000 0.5000 0.5000  6 Te 2.91

***

[2]
Te5Pb3: relaxed, PBE.

Output
spin magnetization	0.0	Bohr magnetons per cell
electronic total energy	-27.51	eV/f.u.
mass density	8.23	Mg/m³
distance to the lowest polymorph of the same formula	99	meV per atom

a b c (Å): 8.3613 10.0442 6.0549
angles (deg): 90.00 90.00 90.00
Closest atoms and distances in Å follow each position.
Atoms (fractional coordinates):
Te 0.0000 0.0000 0.0000  4 Te 3.27, 4 Pb 3.61
Te 0.1972 0.5000 0.5000  6 Pb 3.20-3.48, 1 Te 3.30
Te 0.2500 0.2500 0.0000  2 Pb 3.27, 2 Te 3.27
Te 0.2500 0.7500 0.0000  2 Pb 3.27, 2 Te 3.27
Te 0.3028 0.0000 0.5000  6 Pb 3.20-3.48, 1 Te 3.30
Te 0.5000 0.5000 0.0000  4 Te 3.27, 4 Pb 3.61
Te 0.6972 0.0000 0.5000  6 Pb 3.20-3.48, 1 Te 3.30
Te 0.7500 0.2500 0.0000  2 Pb 3.27, 2 Te 3.27
Te 0.7500 0.7500 0.0000  2 Pb 3.27, 2 Te 3.27
Te 0.8028 0.5000 0.5000  6 Pb 3.20-3.48, 1 Te 3.30
Pb 0.0000 0.1950 0.5000  4 Te 3.20-3.48
Pb 0.0000 0.5000 0.0000  8 Te 3.27-3.45
Pb 0.0000 0.8050 0.5000  4 Te 3.20-3.48
Pb 0.5000 0.0000 0.0000  8 Te 3.27-3.45
Pb 0.5000 0.3050 0.5000  4 Te 3.20-3.48
Pb 0.5000 0.6950 0.5000  4 Te 3.20-3.48

***

[3]
Th4Te5Pb: relaxed, PBE.

Output
spin magnetization	0.0	Bohr magnetons per cell
electronic total energy	-58.68	eV/f.u.
mass density	10.04	Mg/m³

a b c (Å): 3.8702 3.8702 19.5747
angles (deg): 90.00 90.00 90.00
Closest atoms and distances in Å follow each position.
Atoms (fractional coordinates):
Th 0.0000 0.0000 0.0982  8 Te 3.34
Th 0.0000 0.0000 0.2980  8 Te 3.25-3.39
Th 0.0000 0.0000 0.7020  8 Te 3.25-3.39
Th 0.0000 0.0000 0.9018  8 Te 3.34
Te 0.5000 0.5000 0.0000  8 Th 3.34
Te 0.5000 0.5000 0.1960  8 Th 3.34-3.39
Te 0.5000 0.5000 0.3873  4 Th 3.25, 4 Pb 3.52
Te 0.5000 0.5000 0.6127  4 Th 3.25, 4 Pb 3.52
Te 0.5000 0.5000 0.8040  8 Th 3.34-3.39
Pb 0.0000 0.0000 0.5000  8 Te 3.52, 4 Pb 3.87

***

[4]
Th4Te5Pb: relaxed, PBE.

Output
spin magnetization	0.0	Bohr magnetons per cell
electronic total energy	-58.70	eV/f.u.
mass density	7.67	Mg/m³

a b c (Å): 9.9950 9.9950 9.0269
angles (deg): 102.70 102.70 25.93
Closest atoms and distances in Å follow each position.
Atoms (fractional coordinates):
Th 0.0020 0.0020 0.2535  4 Te 3.15-3.20, 2 Pb 3.20
Th 0.3324 0.3324 0.9114  5 Te 3.13-3.23, 1 Pb 3.18
Th 0.6676 0.6676 0.0886  5 Te 3.13-3.23, 1 Pb 3.18
Th 0.9980 0.9980 0.7465  4 Te 3.15-3.20, 2 Pb 3.20
Te 0.1664 0.1664 0.8305  4 Th 3.15-3.23
Te 0.1678 0.1678 0.3310  3 Th 3.13-3.15
Te 0.5000 0.5000 0.5000  4 Th 3.17
Te 0.8322 0.8322 0.6690  3 Th 3.13-3.15
Te 0.8336 0.8336 0.1695  4 Th 3.15-3.23
Pb 0.5000 0.5000 0.0000  6 Th 3.18-3.20

***

[5]
ThTe4Pb2: relaxed, PBE.

Output
spin magnetization	0.0	Bohr magnetons per cell
electronic total energy	-32.16	eV/f.u.
mass density	6.95	Mg/m³
distance to the lowest polymorph of the same formula	0	meV per atom

a b c (Å): 16.5249 4.5958 8.2130
angles (deg): 90.00 117.57 90.00
Closest atoms and distances in Å follow each position.
Atoms (fractional coordinates):
Th 0.0000 0.0000 0.0000  6 Te 3.14-3.15
Th 0.5000 0.5000 0.0000  6 Te 3.14-3.15
Te 0.1152 0.0000 0.4299  3 Pb 3.14-3.22, 1 Th 3.14
Te 0.1238 0.5000 0.9746  2 Th 3.15, 3 Pb 3.42-3.52
Te 0.3762 0.0000 0.0254  2 Th 3.15, 3 Pb 3.42-3.52
Te 0.3848 0.5000 0.5701  3 Pb 3.14-3.22, 1 Th 3.14
Te 0.6152 0.5000 0.4299  3 Pb 3.14-3.22, 1 Th 3.14
Te 0.6238 0.0000 0.9746  2 Th 3.15, 3 Pb 3.42-3.52
Te 0.8762 0.5000 0.0254  2 Th 3.15, 3 Pb 3.42-3.52
Te 0.8848 0.0000 0.5701  3 Pb 3.14-3.22, 1 Th 3.14
Pb 0.2279 0.5000 0.6993  4 Te 3.14-3.42
Pb 0.2721 0.0000 0.3007  4 Te 3.14-3.42
Pb 0.7279 0.0000 0.6993  4 Te 3.14-3.42
Pb 0.7721 0.5000 0.3007  4 Te 3.14-3.42

***

[6]
Th6Te5Pb: relaxed, PBE.

Output
spin magnetization	0.0	Bohr magnetons per cell
electronic total energy	-74.73	eV/f.u.
mass density	9.68	Mg/m³

a b c (Å): 7.8396 7.8396 7.7779
angles (deg): 99.74 99.74 121.20
Closest atoms and distances in Å follow each position.
Atoms (fractional coordinates):
Th 0.0761 0.4113 0.7437  5 Te 3.15-3.20, 1 Pb 3.22
Th 0.2380 0.2380 0.2414  5 Te 3.15-3.17, 1 Pb 3.19
Th 0.4113 0.0761 0.7437  5 Te 3.15-3.20, 1 Pb 3.22
Th 0.5887 0.9239 0.2563  5 Te 3.15-3.20, 1 Pb 3.22
Th 0.7620 0.7620 0.7586  5 Te 3.15-3.17, 1 Pb 3.19
Th 0.9239 0.5887 0.2563  5 Te 3.15-3.20, 1 Pb 3.22
Te 0.0000 0.0000 0.5000  6 Th 3.15
Te 0.1714 0.8286 0.0000  6 Th 3.16-3.17
Te 0.3403 0.6597 0.5000  6 Th 3.17-3.20
Te 0.6597 0.3403 0.5000  6 Th 3.17-3.20
Te 0.8286 0.1714 0.0000  6 Th 3.16-3.17
Pb 0.5000 0.5000 0.0000  6 Th 3.19-3.22

***

[7]
ThTe4Pb2: relaxed, PBE.

Output
spin magnetization	0.0	Bohr magnetons per cell
electronic total energy	-32.12	eV/f.u.
mass density	7.51	Mg/m³
distance to the lowest polymorph of the same formula	7	meV per atom

a b c (Å): 8.0251 8.0251 15.1504
angles (deg): 90.00 90.00 148.37
Closest atoms and distances in Å follow each position.
Atoms (fractional coordinates):
Th 0.1201 0.8799 0.7500  6 Te 3.12-3.22
Th 0.8799 0.1201 0.2500  6 Te 3.12-3.22
Te 0.0000 0.0000 0.0000  4 Pb 3.14
Te 0.0000 0.0000 0.5000  4 Pb 3.14
Te 0.2866 0.7134 0.1265  3 Pb 3.20-3.38, 2 Th 3.22
Te 0.2866 0.7134 0.3735  3 Pb 3.20-3.38, 2 Th 3.22
Te 0.4758 0.5242 0.7500  2 Th 3.12, 2 Pb 3.22
Te 0.5242 0.4758 0.2500  2 Th 3.12, 2 Pb 3.22
Te 0.7134 0.2866 0.6265  3 Pb 3.20-3.38, 2 Th 3.22
Te 0.7134 0.2866 0.8735  3 Pb 3.20-3.38, 2 Th 3.22
Pb 0.3698 0.6302 0.5673  6 Te 3.14-3.38
Pb 0.3698 0.6302 0.9327  6 Te 3.14-3.38
Pb 0.6302 0.3698 0.0673  6 Te 3.14-3.38
Pb 0.6302 0.3698 0.4327  6 Te 3.14-3.38

***

[8]
ThTe7Pb5: relaxed, PBE.

Output
spin magnetization	0.0	Bohr magnetons per cell
electronic total energy	-55.23	eV/f.u.
mass density	7.68	Mg/m³

a b c (Å): 8.0393 8.0393 27.0346
angles (deg): 90.00 90.00 32.36
Closest atoms and distances in Å follow each position.
Atoms (fractional coordinates):
Th 0.0000 0.0000 0.0000  7 Te 3.18-3.30
Th 0.5819 0.5819 0.5002  7 Te 3.18-3.30
Te 0.0018 0.0018 0.5773  3 Pb 3.20-3.36, 2 Th 3.30
Te 0.1396 0.1396 0.2214  6 Pb 3.24-3.36
Te 0.1707 0.1707 0.7997  6 Pb 3.21-3.35
Te 0.2255 0.2255 0.5149  2 Pb 3.14-3.28, 2 Th 3.18
Te 0.3565 0.3565 0.0148  2 Pb 3.14-3.28, 2 Th 3.18
Te 0.4113 0.4113 0.2997  6 Pb 3.21-3.35
Te 0.4424 0.4424 0.7214  6 Pb 3.24-3.36
Te 0.5801 0.5801 0.0772  3 Pb 3.20-3.36, 2 Th 3.30
Te 0.6126 0.6126 0.9419  3 Pb 3.16-3.40, 2 Th 3.24
Te 0.6718 0.6718 0.3897  4 Pb 3.18-3.31, 1 Th 3.29
Te 0.7204 0.7204 0.6521  5 Pb 3.09-3.24
Te 0.8616 0.8616 0.1520  5 Pb 3.09-3.24
Te 0.9101 0.9101 0.8894  4 Pb 3.18-3.31, 1 Th 3.30
Te 0.9694 0.9694 0.4420  3 Pb 3.16-3.40, 2 Th 3.24
Pb 0.0473 0.0473 0.3339  6 Te 3.16-3.36
Pb 0.0815 0.0815 0.6867  6 Te 3.20-3.35
Pb 0.2305 0.2305 0.1124  6 Te 3.20-3.36
Pb 0.2683 0.2683 0.9100  6 Te 3.14-3.40
Pb 0.3137 0.3137 0.4101  6 Te 3.14-3.40
Pb 0.3513 0.3513 0.6124  6 Te 3.20-3.36
Pb 0.5005 0.5005 0.1866  6 Te 3.20-3.35
Pb 0.5347 0.5347 0.8338  6 Te 3.16-3.36
Pb 0.7783 0.7783 0.2559  5 Te 3.09-3.26
Pb 0.8039 0.8039 0.7561  5 Te 3.09-3.26

***

> electronic total energy of number 5 (ThTe4Pb2)?

-32.16 eV/f.u.

***

> Number 3 is which compound?

Th4Te5Pb